Compound: Sr3PdPb3
Source: the Alexandria database
Functional: PBE
Structure: optimized geometry

Cell lengths 6.493, 6.493, 16.363 Å; angles 107.79, 107.79, 44.46 degrees
Sites, in units of the cell vectors:
Sr (0.031, 0.031, 0.386)
Sr (0.097, 0.097, 0.919)
Sr (0.241, 0.241, 0.239)
Sr (0.759, 0.759, 0.761)
Sr (0.903, 0.903, 0.081)
Sr (0.969, 0.969, 0.614)
Pd (0.255, 0.255, 0.610)
Pd (0.745, 0.745, 0.390)
Pb (0.351, 0.351, 0.463)
Pb (0.382, 0.382, 0.922)
Pb (0.466, 0.466, 0.760)
Pb (0.534, 0.534, 0.240)
Pb (0.618, 0.618, 0.078)
Pb (0.649, 0.649, 0.537)

Computed properties:
Fermi-level density of states, states/eV/atom: 0.432
Crystal system: monoclinic
DFT total energy, eV/cell: -50.66
Energy relative to the elements, eV/atom: -0.5667
Magnetic moment, μB per cell: 0.00

=====

Compound: Sr3Pd4Pb7
Source: the Alexandria database
Functional: PBE
Structure: optimized geometry

Cell lengths 9.288, 9.288, 10.573 Å; angles 122.82, 122.82, 29.81 degrees
Sites, in units of the cell vectors:
Sr (0.000, 0.000, 0.000)
Sr (0.314, 0.314, 0.306)
Sr (0.686, 0.686, 0.694)
Pd (0.122, 0.122, 0.848)
Pd (0.338, 0.338, 0.723)
Pd (0.662, 0.662, 0.277)
Pd (0.878, 0.878, 0.152)
Pb (0.000, 0.000, 0.500)
Pb (0.165, 0.165, 0.426)
Pb (0.314, 0.314, 0.962)
Pb (0.497, 0.497, 0.723)
Pb (0.503, 0.503, 0.277)
Pb (0.686, 0.686, 0.038)
Pb (0.835, 0.835, 0.574)

Computed properties:
Fermi-level density of states, states/eV/atom: 0.516
Crystal system: monoclinic
DFT total energy, eV/cell: -58.10
Energy relative to the elements, eV/atom: -0.4520
Magnetic moment, μB per cell: 0.00

=====

Compound: Sr2Pd2Pb3
Source: the Alexandria database
Functional: PBE
Structure: optimized geometry

Cell lengths 6.067, 6.067, 8.172 Å; angles 111.72, 111.72, 44.74 degrees
Sites, in units of the cell vectors:
Sr (0.145, 0.145, 0.291)
Sr (0.855, 0.855, 0.709)
Pd (0.141, 0.141, 0.721)
Pd (0.859, 0.859, 0.279)
Pb (0.369, 0.369, 0.055)
Pb (0.500, 0.500, 0.500)
Pb (0.631, 0.631, 0.945)

Computed properties:
Fermi-level density of states, states/eV/atom: 0.508
Crystal system: monoclinic
DFT total energy, eV/cell: -28.31
Energy relative to the elements, eV/atom: -0.4904
Magnetic moment, μB per cell: 0.00

=====

Compound: SrPd4Pb8
Source: the Alexandria database
Functional: PBE
Structure: optimized geometry

Cell lengths 7.924, 7.924, 7.924 Å; angles 98.86, 98.86, 133.79 degrees
Sites, in units of the cell vectors:
Sr (0.000, 0.000, 0.000)
Pd (0.000, 0.000, 0.500)
Pd (0.000, 0.500, 0.000)
Pd (0.500, 0.000, 0.000)
Pd (0.500, 0.500, 0.500)
Pb (0.000, 0.339, 0.339)
Pb (0.000, 0.661, 0.661)
Pb (0.281, 0.500, 0.781)
Pb (0.339, 0.000, 0.339)
Pb (0.500, 0.281, 0.781)
Pb (0.500, 0.719, 0.219)
Pb (0.661, 0.000, 0.661)
Pb (0.719, 0.500, 0.219)

Computed properties:
Fermi-level density of states, states/eV/atom: 0.400
Crystal system: tetragonal
DFT total energy, eV/cell: -54.66
Energy relative to the elements, eV/atom: -0.1956
Magnetic moment, μB per cell: 0.00

=====

Compound: SrPd6Pb2
Source: the Alexandria database
Functional: PBE
Structure: optimized geometry

Cell lengths 8.479, 8.479, 8.479 Å; angles 60.00, 60.00, 60.00 degrees
Sites, in units of the cell vectors:
Sr (0.125, 0.125, 0.125)
Sr (0.875, 0.875, 0.875)
Pd (0.116, 0.116, 0.634)
Pd (0.116, 0.634, 0.116)
Pd (0.116, 0.634, 0.634)
Pd (0.366, 0.366, 0.884)
Pd (0.366, 0.884, 0.366)
Pd (0.366, 0.884, 0.884)
Pd (0.634, 0.116, 0.116)
Pd (0.634, 0.116, 0.634)
Pd (0.634, 0.634, 0.116)
Pd (0.884, 0.366, 0.366)
Pd (0.884, 0.366, 0.884)
Pd (0.884, 0.884, 0.366)
Pb (0.000, 0.500, 0.500)
Pb (0.500, 0.000, 0.500)
Pb (0.500, 0.500, 0.000)
Pb (0.500, 0.500, 0.500)

Computed properties:
Fermi-level density of states, states/eV/atom: 0.288
Crystal system: cubic
DFT total energy, eV/cell: -79.85
Energy relative to the elements, eV/atom: 0.0367
Magnetic moment, μB per cell: 0.00

=====

Compound: SrPdPb
Source: the Alexandria database
Functional: PBE
Structure: optimized geometry

Cell lengths 7.991, 4.566, 13.203 Å; angles 90.00, 90.64, 90.00 degrees
Sites, in units of the cell vectors:
Sr (0.021, 0.250, 0.126)
Sr (0.151, 0.250, 0.422)
Sr (0.469, 0.750, 0.794)
Sr (0.531, 0.250, 0.206)
Sr (0.849, 0.750, 0.578)
Sr (0.979, 0.750, 0.874)
Pd (0.231, 0.750, 0.252)
Pd (0.273, 0.750, 0.594)
Pd (0.275, 0.250, 0.920)
Pd (0.725, 0.750, 0.080)
Pd (0.727, 0.250, 0.406)
Pd (0.769, 0.250, 0.748)
Pb (0.134, 0.250, 0.703)
Pb (0.338, 0.750, 0.044)
Pb (0.486, 0.750, 0.410)
Pb (0.514, 0.250, 0.590)
Pb (0.662, 0.250, 0.956)
Pb (0.866, 0.750, 0.297)

Computed properties:
Fermi-level density of states, states/eV/atom: 0.468
Crystal system: monoclinic
DFT total energy, eV/cell: -74.07
Energy relative to the elements, eV/atom: -0.5875
Magnetic moment, μB per cell: 0.00

=====

Compound: SrPd3Pb3
Source: the Alexandria database
Functional: PBE
Structure: optimized geometry

Cell lengths 7.477, 7.477, 7.477 Å; angles 71.50, 71.50, 71.50 degrees
Sites, in units of the cell vectors:
Sr (0.172, 0.172, 0.172)
Sr (0.828, 0.828, 0.828)
Pd (0.139, 0.448, 0.753)
Pd (0.247, 0.861, 0.552)
Pd (0.448, 0.753, 0.139)
Pd (0.552, 0.247, 0.861)
Pd (0.753, 0.139, 0.448)
Pd (0.861, 0.552, 0.247)
Pb (0.082, 0.698, 0.377)
Pb (0.302, 0.623, 0.918)
Pb (0.377, 0.082, 0.698)
Pb (0.623, 0.918, 0.302)
Pb (0.698, 0.377, 0.082)
Pb (0.918, 0.302, 0.623)

Computed properties:
Offset from the most stable computed form, eV/atom: 0.064
Fermi-level density of states, states/eV/atom: 0.267
Crystal system: trigonal
DFT total energy, eV/cell: -61.11
Energy relative to the elements, eV/atom: -0.3096
Magnetic moment, μB per cell: 0.00

=====

Compound: Sr8Pd2Pb
Source: the Alexandria database
Functional: PBE
Structure: optimized geometry

Cell lengths 8.797, 8.797, 6.152 Å; angles 97.65, 97.65, 111.64 degrees
Sites, in units of the cell vectors:
Sr (0.000, 0.000, 0.000)
Sr (0.047, 0.313, 0.617)
Sr (0.134, 0.619, 0.200)
Sr (0.313, 0.047, 0.617)
Sr (0.440, 0.706, 0.783)
Sr (0.619, 0.134, 0.200)
Sr (0.706, 0.440, 0.783)
Sr (0.753, 0.753, 0.400)
Pd (0.063, 0.690, 0.700)
Pd (0.690, 0.063, 0.700)
Pb (0.377, 0.377, 0.201)

Computed properties:
Fermi-level density of states, states/eV/atom: 0.623
Crystal system: monoclinic
DFT total energy, eV/cell: -31.22
Energy relative to the elements, eV/atom: -0.3334
Magnetic moment, μB per cell: 0.00

=====

Compound: Sr2PdPb2
Source: the Alexandria database
Functional: PBE
Structure: optimized geometry

Cell lengths 7.665, 7.665, 5.218 Å; angles 90.00, 90.00, 90.00 degrees
Sites, in units of the cell vectors:
Sr (0.166, 0.334, 0.000)
Sr (0.334, 0.834, 0.000)
Sr (0.666, 0.166, 0.000)
Sr (0.834, 0.666, 0.000)
Pd (0.000, 0.000, 0.500)
Pd (0.500, 0.500, 0.500)
Pb (0.146, 0.646, 0.500)
Pb (0.354, 0.146, 0.500)
Pb (0.646, 0.854, 0.500)
Pb (0.854, 0.354, 0.500)

Computed properties:
Offset from the most stable computed form, eV/atom: 0.115
Fermi-level density of states, states/eV/atom: 0.418
Crystal system: tetragonal
DFT total energy, eV/cell: -36.50
Energy relative to the elements, eV/atom: -0.4550
Magnetic moment, μB per cell: 0.00

=====

Compound: SrPdPb3
Source: the Alexandria database
Functional: PBE
Structure: optimized geometry

Cell lengths 6.006, 6.006, 6.006 Å; angles 90.00, 90.00, 90.00 degrees
Sites, in units of the cell vectors:
Sr (0.000, 0.000, 0.000)
Pd (0.500, 0.500, 0.500)
Pb (0.000, 0.000, 0.500)
Pb (0.000, 0.500, 0.000)
Pb (0.500, 0.000, 0.000)

Computed properties:
Fermi-level density of states, states/eV/atom: 0.953
Crystal system: cubic
DFT total energy, eV/cell: -12.51
Energy relative to the elements, eV/atom: 1.0973
Magnetic moment, μB per cell: 0.00

=====

Compound: SrPd3Pb3
Source: the Alexandria database
Functional: PBE
Structure: optimized geometry

Cell lengths 7.559, 7.559, 7.559 Å; angles 90.00, 90.00, 90.00 degrees
Sites, in units of the cell vectors:
Sr (0.000, 0.000, 0.000)
Sr (0.500, 0.500, 0.500)
Pd (0.000, 0.250, 0.500)
Pd (0.000, 0.750, 0.500)
Pd (0.250, 0.500, 0.000)
Pd (0.500, 0.000, 0.250)
Pd (0.500, 0.000, 0.750)
Pd (0.750, 0.500, 0.000)
Pb (0.000, 0.500, 0.250)
Pb (0.000, 0.500, 0.750)
Pb (0.250, 0.000, 0.500)
Pb (0.500, 0.250, 0.000)
Pb (0.500, 0.750, 0.000)
Pb (0.750, 0.000, 0.500)

Computed properties:
Offset from the most stable computed form, eV/atom: 0.281
Fermi-level density of states, states/eV/atom: 0.647
Crystal system: cubic
DFT total energy, eV/cell: -58.07
Energy relative to the elements, eV/atom: -0.0928
Magnetic moment, μB per cell: 0.00

=====

Compound: Sr3Pd2Pb3
Source: the Alexandria database
Functional: PBE
Structure: optimized geometry

Cell lengths 6.284, 6.284, 16.748 Å; angles 90.00, 90.00, 134.65 degrees
Sites, in units of the cell vectors:
Sr (0.075, 0.925, 0.611)
Sr (0.075, 0.925, 0.889)
Sr (0.357, 0.643, 0.750)
Sr (0.643, 0.357, 0.250)
Sr (0.925, 0.075, 0.111)
Sr (0.925, 0.075, 0.389)
Pd (0.212, 0.788, 0.106)
Pd (0.212, 0.788, 0.394)
Pd (0.788, 0.212, 0.606)
Pd (0.788, 0.212, 0.894)
Pb (0.346, 0.654, 0.250)
Pb (0.362, 0.638, 0.536)
Pb (0.362, 0.638, 0.964)
Pb (0.638, 0.362, 0.036)
Pb (0.638, 0.362, 0.464)
Pb (0.654, 0.346, 0.750)

Computed properties:
Offset from the most stable computed form, eV/atom: 0.000
Fermi-level density of states, states/eV/atom: 0.744
Crystal system: orthorhombic
DFT total energy, eV/cell: -62.25
Energy relative to the elements, eV/atom: -0.5711
Magnetic moment, μB per cell: 0.00